Computed, not measured: a relaxed CrOsS2Cl crystal at the GGA-PBE level of DFT.

Unit cell a=4.563 b=4.563 c=5.035 alpha=90.00 beta=90.00 gamma=90.00
Fractional positions:
Cr: 0.000 0.000 0.000
Os: 0.500 0.500 0.500
S: 0.000 0.500 0.500
S: 0.500 0.000 0.500
Cl: 0.500 0.500 0.000

Calculated values
space group: P4/mmm
E above lowest polymorph: 0.00 kJ/mol of atoms
formation energy without anion corrections: 0.56 eV/atom
total magnetization: 0.857 μB/atom
final energy: -5.6320 eV/atom